This record from Alexandria describes K2TlWF6 after structural relaxation. The functional is PBE with a Hubbard U.

abc: 12.425 12.425 12.425
angles: 30.13 30.13 30.13
Element x y z (fractional)
K1 0.140 0.140 0.140
K2 0.244 0.244 0.244
K3 0.756 0.756 0.756
K4 0.860 0.860 0.860
Tl1 0.338 0.338 0.338
Tl2 0.662 0.662 0.662
W1 0.000 0.000 0.000
W2 0.500 0.500 0.500
F1 0.143 0.633 0.633
F2 0.184 0.184 0.749
F3 0.184 0.749 0.184
F4 0.251 0.816 0.816
F5 0.367 0.367 0.857
F6 0.367 0.857 0.367
F7 0.633 0.143 0.633
F8 0.633 0.633 0.143
F9 0.749 0.184 0.184
F10 0.816 0.251 0.816
F11 0.816 0.816 0.251
F12 0.857 0.367 0.367

Computed properties:
Space group   R-3m, No. 166
Calculated total energy   -4.776 eV per atom
Total moment   3.00 μB/f.u.
Calculated volume   21.41 Å³/atom